No. 1
Below is a geometry-optimized Sb2Se2I structure, with properties calculated at the PBE-GGA level.

**Density**: 5.6 Mg/m³
**Relative energy among the computed polymorphs**: 0.3764 eV/atom
**Formation energy (no corrections)**: 0.17 eV per atom
**E**: -3.186 eV per atom
**Volume**: 311.19 Å³/cell

Cell lengths 9.3904, 9.3904, 3.5291 Å; angles 90.00, 90.00, 90.00 degrees
Space group P4/mbm (No. 127)
Inequivalent atoms, fractional coordinates:
Sb: 0.1087 0.3913 0.0000 x4
Se: 0.1378 0.6378 0.5000 x4
I: 0.0000 0.0000 0.5000 x2

No. 2
Below is a geometry-optimized Sb2SeI3 structure, with properties calculated at the PBE-GGA level.

**Density**: 4.8 Mg/m³
**Formation energy (no corrections)**: -0.19 eV per atom
**E**: -2.923 eV per atom
**Volume**: 966.09 Å³/cell

Cell lengths 16.8150, 4.3694, 15.3509 Å; angles 90.00, 121.07, 90.00 degrees
Space group C2/m (No. 12)
Inequivalent atoms, fractional coordinates:
Sb: 0.0363 0.0000 0.4257 x4
Sb: 0.1336 0.5000 0.8571 x4
Se: 0.1442 0.0000 0.7459 x4
I: 0.0680 0.5000 0.2568 x4
I: 0.1423 0.0000 0.0191 x4
I: 0.1686 0.5000 0.5646 x4

No. 3
Below is a geometry-optimized Sb2Se2I structure, with properties calculated at the PBE-GGA level.

**Density**: 5.0 Mg/m³
**Relative energy among the computed polymorphs**: 0.1309 eV/atom
**Formation energy (no corrections)**: -0.08 eV per atom
**E**: -3.431 eV per atom
**Volume**: 695.64 Å³/cell

Cell lengths 7.1264, 7.1264, 13.6978 Å; angles 90.00, 90.00, 90.00 degrees
Space group I4_1md (No. 109)
Inequivalent atoms, fractional coordinates:
Sb: 0.0000 0.2713 0.0000 x8
Se: 0.0000 0.2373 0.1996 x8
I: 0.0000 0.0000 0.5295 x4

No. 4
Below is a geometry-optimized Sb5Se12I3 structure, with properties calculated at the PBE-GGA level.

**Density**: 5.0 Mg/m³
**Formation energy (no corrections)**: 0.19 eV per atom
**E**: -3.159 eV per atom
**Volume**: 5152.69 Å³/cell

Cell lengths 17.2721, 17.2721, 17.2721 Å; angles 90.00, 90.00, 90.00 degrees
Space group Ia-3d (No. 230)
Inequivalent atoms, fractional coordinates:
Sb: 0.0000 0.0000 0.0000 x16
Sb: 0.0000 0.2500 0.3750 x24
Se: 0.0407 0.0726 0.6481 x96
I: 0.0000 0.2500 0.1250 x24

No. 5
Below is a geometry-optimized Sb2Se2I structure, with properties calculated at the PBE-GGA level.

**Density**: 5.2 Mg/m³
**Relative energy among the computed polymorphs**: 0.0000 eV/atom
**Formation energy (no corrections)**: -0.21 eV per atom
**E**: -3.562 eV per atom
**Volume**: 675.01 Å³/cell

Cell lengths 13.6384, 6.4101, 7.8904 Å; angles 90.00, 101.89, 90.00 degrees
Space group C2/c (No. 15)
Inequivalent atoms, fractional coordinates:
Sb: 0.1976 0.0380 0.0632 x8
Se: 0.1701 0.4101 0.6280 x8
I: 0.0000 0.0954 0.2500 x4

No. 6
Below is a geometry-optimized SbSeI2 structure, with properties calculated at the PBE-GGA level.

**Density**: 3.8 Mg/m³
**Relative energy among the computed polymorphs**: 0.0000 eV/atom
**Formation energy (no corrections)**: -0.13 eV per atom
**E**: -2.806 eV per atom
**Volume**: 196.53 Å³/cell

Cell lengths 4.1249, 6.8713, 7.3419 Å; angles 95.55, 105.51, 98.11 degrees
Space group P1 (No. 1)
Inequivalent atoms, fractional coordinates:
Sb: 0.0000 0.0000 0.0000 x1
Se: 0.5052 0.7678 0.0905 x1
I: 0.7415 0.3796 0.0556 x1
I: 0.7919 0.9143 0.6078 x1

No. 7
Below is a geometry-optimized SbSeI2 structure, with properties calculated at the PBE-GGA level.

**Density**: 4.5 Mg/m³
**Relative energy among the computed polymorphs**: 0.2305 eV/atom
**Formation energy (no corrections)**: 0.10 eV per atom
**E**: -2.575 eV per atom
**Volume**: 673.13 Å³/cell

Cell lengths 11.1404, 11.1404, 5.4237 Å; angles 90.00, 90.00, 90.00 degrees
Space group I-42d (No. 122)
Inequivalent atoms, fractional coordinates:
Sb: 0.0000 0.0000 0.0000 x4
Se: 0.0000 0.0000 0.5000 x4
I: 0.1055 0.2500 0.1250 x8

No. 8
Below is a geometry-optimized SiSbSeI2 structure, with properties calculated at the PBE-GGA level.

**Density**: 5.0 Mg/m³
**Relative energy among the computed polymorphs**: 0.0000 eV/atom
**Formation energy (no corrections)**: 0.58 eV per atom
**E**: -2.641 eV per atom
**Volume**: 159.41 Å³/cell

Cell lengths 5.2905, 5.2905, 5.6955 Å; angles 90.00, 90.00, 90.00 degrees
Space group P4/mmm (No. 123)
Inequivalent atoms, fractional coordinates:
Si: 0.0000 0.0000 0.0000 x1
Sb: 0.0000 0.0000 0.5000 x1
Se: 0.5000 0.5000 0.5000 x1
I: 0.0000 0.5000 0.0000 x2

No. 9
Below is a geometry-optimized SiSbSeI2 structure, with properties calculated at the PBE-GGA level.

**Density**: 4.5 Mg/m³
**Relative energy among the computed polymorphs**: 0.3117 eV/atom
**Formation energy (no corrections)**: 0.90 eV per atom
**E**: -2.330 eV per atom
**Volume**: 177.82 Å³/cell

Cell lengths 5.6476, 5.6476, 5.5750 Å; angles 90.00, 90.00, 90.00 degrees
Space group P4/mmm (No. 123)
Inequivalent atoms, fractional coordinates:
Si: 0.0000 0.0000 0.0000 x1
Sb: 0.5000 0.5000 0.0000 x1
Se: 0.5000 0.5000 0.5000 x1
I: 0.0000 0.5000 0.5000 x2

No. 10
Below is a geometry-optimized Sm6Sb2Se3I structure, with properties calculated at the PBE-GGA level.

**Density**: 7.3 Mg/m³
**Formation energy (no corrections)**: -1.45 eV per atom
**E**: -5.492 eV per atom
**Volume**: 690.93 Å³/cell

Cell lengths 18.9484, 4.3105, 8.7065 Å; angles 90.00, 103.69, 90.00 degrees
Space group C2/m (No. 12)
Inequivalent atoms, fractional coordinates:
Sm: 0.0024 0.0000 0.2156 x4
Sm: 0.1644 0.5000 0.0916 x4
Sm: 0.1817 0.5000 0.5809 x4
Sb: 0.1649 0.0000 0.8291 x4
Se: 0.0000 0.5000 0.0000 x2
Se: 0.1614 0.0000 0.3330 x4
I: 0.0000 0.5000 0.5000 x2

No. 11
Below is a geometry-optimized Sn2SbSe2I3 structure, with properties calculated at the PBE-GGA level.

**Density**: 4.8 Mg/m³
**Formation energy (no corrections)**: -0.36 eV per atom
**E**: -3.324 eV per atom
**Volume**: 1238.10 Å³/cell

Cell lengths 4.3849, 16.0014, 17.6459 Å; angles 90.00, 90.00, 90.00 degrees
Space group Cmc2_1 (No. 36)
Inequivalent atoms, fractional coordinates:
Sn: 0.0000 0.0795 0.0000 x4
Sn: 0.0000 0.1984 0.5478 x4
Sb: 0.0000 0.2364 0.2994 x4
Se: 0.0000 0.2073 0.1051 x4
Se: 0.0000 0.3165 0.4280 x4
I: 0.0000 0.1429 0.7438 x4
I: 0.0000 0.3868 0.8558 x4
I: 0.0000 0.4960 0.1015 x4

No. 12
Below is a geometry-optimized Sr4SbSe2I structure, with properties calculated at the PBE-GGA level.

**Density**: 4.5 Mg/m³
**Formation energy (no corrections)**: -1.66 eV per atom
**E**: -4.078 eV per atom
**Volume**: 281.01 Å³/cell

Cell lengths 7.9692, 4.6397, 8.0260 Å; angles 90.00, 108.75, 90.00 degrees
Space group P2/m (No. 10)
Inequivalent atoms, fractional coordinates:
Sr: 0.2255 0.0000 0.2248 x2
Sr: 0.2405 0.5000 0.7609 x2
Sb: 0.0000 0.0000 0.5000 x1
Se: 0.0000 0.5000 0.0000 x1
Se: 0.5000 0.0000 0.0000 x1
I: 0.5000 0.5000 0.5000 x1